[1]
Entry from Alexandria: an optimized crystal structure of AcY8Ho6 (PBE).

a b c (Å): 6.481 9.548 9.548
angles (deg): 120.00 90.00 90.00
Atoms (fractional coordinates):
Ac1 0.500 0.000 0.000
Ho1 0.411 0.577 0.679
Ho2 0.589 0.423 0.321
Ho3 0.589 0.898 0.577
Ho4 0.589 0.679 0.102
Ho5 0.411 0.102 0.423
Ho6 0.411 0.321 0.898
Y1 0.091 0.314 0.341
Y2 0.091 0.027 0.686
Y3 0.091 0.659 0.973
Y4 0.909 0.686 0.659
Y5 0.909 0.973 0.314
Y6 0.909 0.341 0.027
Y7 0.165 0.667 0.333
Y8 0.835 0.333 0.667

Summary:
Symmetry: P-3
Formation energy from the elements, kcal/mol of atoms: 5.15

=====

[2]
Entry from Alexandria: an optimized crystal structure of AcY4Ho10 (PBE).

a b c (Å): 6.589 9.657 9.657
angles (deg): 83.32 70.05 70.05
Atoms (fractional coordinates):
Ho1 0.958 0.162 0.421
Ho2 0.880 0.579 0.162
Ho3 0.120 0.421 0.838
Ho4 0.621 0.421 0.838
Ho5 0.042 0.838 0.579
Ho6 0.750 0.500 0.500
Ho7 0.541 0.838 0.579
Ho8 0.459 0.162 0.421
Ho9 0.250 0.500 0.500
Ho10 0.379 0.579 0.162
Y1 0.567 0.112 0.753
Y2 0.679 0.753 0.888
Y3 0.433 0.888 0.247
Y4 0.321 0.247 0.112
Ac1 0.000 0.000 0.000

Summary:
Symmetry: I4/m
Formation energy from the elements, kcal/mol of atoms: 12.46

=====

[3]
Entry from Alexandria: an optimized crystal structure of AcY4Ho15 (PBE).

a b c (Å): 5.032 5.032 25.167
angles (deg): 90.00 90.00 90.00
Atoms (fractional coordinates):
Ho1 0.500 0.500 0.599
Ho2 0.000 0.500 0.500
Ho3 0.500 0.000 0.105
Ho4 0.000 0.500 0.895
Ho5 0.500 0.000 0.500
Ho6 0.000 0.500 0.302
Ho7 0.000 0.500 0.698
Ho8 0.500 0.500 0.401
Ho9 0.000 0.500 0.105
Ho10 0.500 0.500 0.000
Ho11 0.500 0.500 0.796
Ho12 0.500 0.000 0.302
Ho13 0.500 0.000 0.698
Ho14 0.500 0.000 0.895
Ho15 0.500 0.500 0.204
Y1 0.000 0.000 0.797
Y2 0.000 0.000 0.401
Y3 0.000 0.000 0.599
Y4 0.000 0.000 0.203
Ac1 0.000 0.000 0.000

Summary:
Symmetry: P4/mmm
Formation energy from the elements, kcal/mol of atoms: 0.76

=====

[4]
Entry from Alexandria: an optimized crystal structure of AcY3Ho2 (PBE).

a b c (Å): 3.587 10.481 11.795
angles (deg): 108.59 98.75 90.00
Atoms (fractional coordinates):
Ac1 0.319 0.960 0.637
Ac2 0.681 0.040 0.363
Ho1 0.066 0.147 0.132
Ho2 0.307 0.623 0.615
Ho3 0.693 0.377 0.385
Ho4 0.934 0.853 0.868
Y1 0.066 0.757 0.133
Y2 0.934 0.243 0.867
Y3 0.560 0.444 0.119
Y4 0.695 0.711 0.391
Y5 0.305 0.289 0.609
Y6 0.440 0.556 0.881

Summary:
Symmetry: C2/m
Energy above the lowest structure with this stoichiometry, kJ/mol of atoms: 3.9
Formation energy from the elements, kcal/mol of atoms: 3.27

=====

[5]
Entry from Alexandria: an optimized crystal structure of AcYHo14 (PBE).

a b c (Å): 7.261 7.261 11.303
angles (deg): 90.00 90.00 119.99
Atoms (fractional coordinates):
Ho1 0.335 0.665 0.254
Ho2 0.335 0.665 0.746
Ho3 0.666 0.833 0.500
Ho4 0.831 0.665 0.255
Ho5 0.667 0.333 0.500
Ho6 0.167 0.833 0.500
Ho7 0.169 0.334 0.000
Ho8 0.834 0.166 0.749
Ho9 0.335 0.169 0.255
Ho10 0.666 0.831 0.000
Ho11 0.167 0.334 0.500
Ho12 0.834 0.166 0.251
Ho13 0.335 0.169 0.745
Ho14 0.831 0.665 0.745
Y1 0.666 0.334 0.000
Ac1 0.166 0.834 0.000

Summary:
Symmetry: Amm2
Formation energy from the elements, kcal/mol of atoms: 0.39

=====

[6]
Entry from Alexandria: an optimized crystal structure of Ac2YHo (PBE).

a b c (Å): 12.762 12.762 13.471
angles (deg): 90.02 90.02 145.94
Atoms (fractional coordinates):
Ac1 0.022 0.477 0.749
Ac2 0.251 0.251 0.000
Ac3 0.251 0.251 0.500
Ac4 0.478 0.522 0.250
Ac5 0.024 0.976 0.750
Ac6 0.250 0.749 0.501
Ac7 0.750 0.251 0.499
Ac8 0.523 0.978 0.751
Ac9 0.251 0.750 0.999
Ac10 0.749 0.749 0.000
Ac11 0.749 0.250 0.001
Ac12 0.477 0.022 0.249
Ac13 0.749 0.749 0.500
Ac14 0.522 0.478 0.750
Ac15 0.978 0.523 0.251
Ac16 0.976 0.024 0.250
Y1 0.886 0.115 0.613
Y2 0.613 0.884 0.385
Y3 0.884 0.613 0.885
Y4 0.116 0.387 0.115
Y5 0.885 0.114 0.887
Y6 0.114 0.885 0.387
Y7 0.115 0.886 0.113
Y8 0.387 0.116 0.615
Ho1 0.615 0.386 0.386
Ho2 0.614 0.885 0.113
Ho3 0.385 0.614 0.614
Ho4 0.614 0.385 0.114
Ho5 0.115 0.386 0.387
Ho6 0.885 0.614 0.613
Ho7 0.386 0.615 0.886
Ho8 0.386 0.115 0.887

Summary:
Symmetry: C2/c
Energy above the lowest structure with this stoichiometry, kJ/mol of atoms: 8.1
Formation energy from the elements, kcal/mol of atoms: 3.01